No. 1
VASP calculation (PBE-GGA) on Sr2PuHgO6 after structural relaxation.

Values from the calculation:
Formation energy (no corrections) in meV/atom: -2162
E_tot in hartree per atom: -0.255

Cell and atoms, written as CIF:
```
data_Sr2PuHgO6
_cell_length_a 4.355
_cell_length_b 6.205
_cell_length_c 6.205
_cell_angle_alpha 90.00
_cell_angle_beta 90.00
_cell_angle_gamma 90.00
_symmetry_space_group_name_H-M 'P 1'
_symmetry_Int_Tables_number 1
loop_
_symmetry_equiv_pos_as_xyz
'x,y,z'
loop_
_atom_site_label
_atom_site_type_symbol
_atom_site_fract_x
_atom_site_fract_y
_atom_site_fract_z
Sr1 Sr 0.044 0.500 0.000
Sr2 Sr 0.044 0.000 0.500
Pu1 Pu 0.668 0.000 0.000
Hg1 Hg 0.604 0.500 0.500
O1 O 0.701 0.228 0.228
O2 O 0.701 0.228 0.772
O3 O 0.117 0.500 0.500
O4 O 0.169 0.000 0.000
O5 O 0.701 0.772 0.772
O6 O 0.701 0.772 0.228
```

=====

No. 2
VASP calculation (PBE-GGA) on Tb2PuHgO8 after structural relaxation.

Values from the calculation:
Formation energy (no corrections) in meV/atom: -2326
E_tot in hartree per atom: -0.280

Cell and atoms, written as CIF:
```
data_Tb2PuHgO8
_cell_length_a 4.961
_cell_length_b 4.985
_cell_length_c 7.440
_cell_angle_alpha 90.01
_cell_angle_beta 89.99
_cell_angle_gamma 93.36
_symmetry_space_group_name_H-M 'P 1'
_symmetry_Int_Tables_number 1
loop_
_symmetry_equiv_pos_as_xyz
'x,y,z'
loop_
_atom_site_label
_atom_site_type_symbol
_atom_site_fract_x
_atom_site_fract_y
_atom_site_fract_z
Tb1 Tb 0.500 0.500 0.741
Tb2 Tb 0.500 0.500 0.259
Pu1 Pu 0.000 0.000 0.000
Hg1 Hg 0.000 0.000 0.500
O1 O 0.186 0.809 0.191
O2 O 0.703 0.710 0.000
O3 O 0.814 0.192 0.191
O4 O 0.814 0.191 0.809
O5 O 0.297 0.290 0.000
O6 O 0.186 0.808 0.809
O7 O 0.697 0.698 0.500
O8 O 0.303 0.302 0.500
```